LiCd2Re after structural relaxation. Source: the Alexandria database, functional GGA-PBE.

Cell lengths 3.991, 3.991, 9.958 Å; angles 78.44, 78.44, 90.00 degrees
Fractional coordinates of all 8 atoms:
1 Re 0.000 0.000 0.000
2 Re 0.750 0.250 0.500
3 Cd 0.875 0.873 0.750
4 Cd 0.623 0.125 0.250
5 Cd 0.375 0.377 0.750
6 Cd 0.127 0.625 0.250
7 Li 0.500 0.500 0.000
8 Li 0.250 0.750 0.500

Summary:
energy relative to the lowest polymorph listed for this composition = 698 meV/atom
E = -3.0894 eV per atom
space group = I-42d (122)
energy of formation from the pure elements = 92 kJ/mol of atoms

***

LiCd2Re after structural relaxation. Source: the Alexandria database, functional GGA-PBE.

Cell lengths 4.972, 4.972, 5.517 Å; angles 84.92, 84.92, 31.38 degrees
Fractional coordinates of all 4 atoms:
1 Cd 0.503 0.503 0.498
2 Cd 0.997 0.997 0.002
3 Re 0.250 0.250 0.250
4 Li 0.750 0.750 0.750

Summary:
energy relative to the lowest polymorph listed for this composition = 170 meV/atom
E = -3.6180 eV per atom
space group = C2/m (12)
energy of formation from the pure elements = 41 kJ/mol of atoms

***

LiCd2Re after structural relaxation. Source: the Alexandria database, functional GGA-PBE.

Cell lengths 9.875, 9.875, 9.875 Å; angles 16.75, 16.75, 16.75 degrees
Fractional coordinates of all 4 atoms:
1 Li 0.250 0.250 0.250
2 Re 0.750 0.750 0.750
3 Cd 0.999 0.999 0.999
4 Cd 0.501 0.501 0.501

Summary:
energy relative to the lowest polymorph listed for this composition = 0 meV/atom
E = -3.7877 eV per atom
space group = R-3m (166)
energy of formation from the pure elements = 25 kJ/mol of atoms

***

Question: Which formula does entry 3 have?
Answer: LiCd2Re

***

Copy entry 1 word for word.
LiCd2Re after structural relaxation. Source: the Alexandria database, functional GGA-PBE.

Cell lengths 3.991, 3.991, 9.958 Å; angles 78.44, 78.44, 90.00 degrees
Fractional coordinates of all 8 atoms:
1 Re 0.000 0.000 0.000
2 Re 0.750 0.250 0.500
3 Cd 0.875 0.873 0.750
4 Cd 0.623 0.125 0.250
5 Cd 0.375 0.377 0.750
6 Cd 0.127 0.625 0.250
7 Li 0.500 0.500 0.000
8 Li 0.250 0.750 0.500

Summary:
energy relative to the lowest polymorph listed for this composition = 698 meV/atom
E = -3.0894 eV per atom
space group = I-42d (122)
energy of formation from the pure elements = 92 kJ/mol of atoms

***

Question: Which formula does entry 2 have?
Answer: LiCd2Re

***

Question: Which value of E does entry 1 give?
Answer: -3.0894 eV per atom